[1]
Sm2Tl3AgSe6 | Alexandria | PBE | relaxed; energy relative to the elements, uncorrected = -10.8 eV per formula unit; space group = C2/m, No. 12; crystal system = monoclinic; E_tot = -51.1 eV/cell
1.0
7.289 0.031 -0.011
-3.615 6.329 -0.011
-1.236 -2.141 7.392
Ag Sm Se Tl
1 2 6 3
direct
0.000 0.000 0.000
0.665 0.335 0.000
0.335 0.665 0.000
0.605 0.928 0.788
0.735 0.735 0.235
0.265 0.265 0.765
0.395 0.072 0.212
0.928 0.605 0.788
0.072 0.395 0.212
0.178 0.822 0.500
0.822 0.178 0.500
0.500 0.500 0.500

***

[2]
Sm2TlAgSe4 | Alexandria | PBE | relaxed; energy relative to the elements, uncorrected = -10.3 eV per formula unit; space group = Cmcm, No. 63; crystal system = orthorhombic; E_tot = -77.8 eV/cell
1.0
-2.868 -2.776 -1.463
5.641 -3.992 2.694
-6.627 -0.262 13.487
Se Tl Sm Ag
8 2 4 2
direct
0.449 0.898 0.750
0.551 0.102 0.250
0.267 0.534 0.395
0.000 0.000 0.500
0.733 0.466 0.605
0.733 0.466 0.895
0.267 0.534 0.105
0.000 0.000 0.000
0.121 0.242 0.750
0.879 0.758 0.250
0.631 0.263 0.068
0.631 0.263 0.432
0.369 0.737 0.932
0.369 0.737 0.568
0.162 0.324 0.250
0.838 0.676 0.750

***

[3]
Sm2TmAgSe5 | Alexandria | PBE | relaxed; energy relative to the elements, uncorrected = -13.7 eV per formula unit; space group = Cmc2_1, No. 36; crystal system = orthorhombic; E_tot = -95.7 eV/cell
1.0
4.110 0.000 0.000
-2.055 8.678 0.000
0.000 0.000 12.466
Ag Se Sm Tm
2 10 4 2
direct
0.443 0.885 0.459
0.557 0.115 0.959
0.305 0.610 0.345
0.714 0.429 0.166
0.286 0.571 0.666
0.497 0.995 0.773
0.359 0.718 0.000
0.954 0.908 0.581
0.641 0.282 0.500
0.503 0.005 0.273
0.046 0.092 0.081
0.695 0.390 0.845
0.890 0.780 0.185
0.874 0.749 0.804
0.126 0.251 0.304
0.110 0.220 0.685
0.804 0.609 0.509
0.196 0.391 0.009

***

[4]
Sm2TmAg3Se6 | Alexandria | PBE | relaxed; energy relative to the elements, uncorrected = -14.0 eV per formula unit; space group = C2/m, No. 12; crystal system = monoclinic; E_tot = -57.4 eV/cell
1.0
4.249 0.000 0.000
0.000 9.694 0.553
-2.124 -2.397 7.765
Sm Ag Se Tm
2 3 6 1
direct
0.161 0.312 0.323
0.839 0.688 0.677
0.500 0.500 0.000
0.838 0.275 0.676
0.162 0.725 0.324
0.981 0.189 0.963
0.658 0.532 0.315
0.019 0.811 0.037
0.342 0.468 0.685
0.677 0.120 0.354
0.323 0.880 0.646
0.500 0.000 0.000

***

[5]
SmY2Ag3Se6 | Alexandria | PBE | relaxed; energy relative to the elements, uncorrected = -14.0 eV per formula unit; space group = C2/m, No. 12; crystal system = monoclinic; E_tot = -61.1 eV/cell
1.0
-3.485 0.866 2.195
-4.119 -5.418 -4.402
4.563 -5.645 5.439
Y Se Ag Sm
2 6 3 1
direct
0.833 0.660 0.666
0.167 0.340 0.334
0.669 0.094 0.338
0.332 0.415 0.664
0.331 0.906 0.662
0.001 0.253 0.002
0.668 0.585 0.336
0.999 0.747 0.998
0.162 0.850 0.324
0.838 0.150 0.676
0.500 0.500 0.000
0.500 0.000 0.000

***

[6]
SmYAg2Se4 | Alexandria | PBE | relaxed; energy relative to the elements, uncorrected = -9.3 eV per formula unit; space group = P2/m, No. 10; crystal system = monoclinic; E_tot = -40.1 eV/cell
1.0
-0.143 2.277 -3.556
0.099 -5.784 -3.708
-6.811 -2.345 -1.228
Se Ag Sm Y
4 2 1 1
direct
0.500 0.252 0.744
0.000 0.750 0.748
0.500 0.748 0.256
0.000 0.250 0.252
0.000 0.000 0.000
0.500 0.000 0.500
0.500 0.500 0.000
0.000 0.500 0.500

***

[7]
Sm3ZrAg3Se8 | Alexandria | PBE | relaxed; energy relative to the elements, uncorrected = -17.7 eV per formula unit; space group = C2/m, No. 12; crystal system = monoclinic; E_tot = -76.8 eV/cell
1.0
-2.957 -5.114 5.925
7.674 3.251 0.728
-6.640 4.684 0.728
Sm Ag Se Zr
3 3 8 1
direct
0.000 0.500 0.500
0.500 0.000 0.500
0.500 0.500 0.500
0.000 0.000 0.000
0.000 0.500 0.000
0.500 0.500 0.000
0.249 0.497 0.247
0.764 0.528 0.263
0.764 0.998 0.263
0.234 0.998 0.263
0.766 0.002 0.737
0.236 0.472 0.737
0.751 0.503 0.753
0.236 0.002 0.737
0.000 0.000 0.500

***

[8]
Ag2SnSe2 | Alexandria | PBE | relaxed; energy relative to the elements, uncorrected = -0.5 eV per formula unit; E above lowest polymorph = 56 meV per atom; space group = I4/mmm, No. 139; crystal system = tetragonal; E_tot = -17.2 eV/cell
1.0
-1.702 1.174 -3.420
-1.720 -3.587 -0.375
-7.469 1.169 1.782
Se Ag Sn
2 2 1
direct
0.387 0.387 0.226
0.613 0.613 0.774
0.250 0.750 0.500
0.750 0.250 0.500
0.000 0.000 0.000